[1]
# AcSmDyAl

A geometry-optimized AcSmDyAl structure (GGA-PBE, Alexandria via LeMat-Bulk).

Cell lengths 5.546, 5.546, 5.546 Å; angles 60.00, 60.00, 60.00 degrees
Sites, in units of the cell vectors:
Ac 0.000 0.000 0.000
Sm 0.250 0.250 0.250
Dy 0.750 0.750 0.750
Al 0.500 0.500 0.500

* raw total energy: -16.896 eV/cell
* space group: F-43m, No. 216
* energy relative to the elements: 0.0690 eV per atom

---

[2]
# SrZn2CBr

A geometry-optimized SrZn2CBr structure (GGA-PBE, Alexandria via LeMat-Bulk).

Cell lengths 6.057, 6.057, 5.794 Å; angles 90.00, 90.00, 90.00 degrees
Sites, in units of the cell vectors:
Sr 0.000 0.000 0.000
Zn 0.000 0.500 0.500
Zn 0.500 0.000 0.500
C 0.500 0.500 0.000
Br 0.000 0.000 0.500

* raw total energy: -8.712 eV/cell
* space group: P4/mmm, No. 123
* formation energy without anion corrections: 1.2828 eV per atom

---

[3]
# HfReSi

A geometry-optimized HfReSi structure (GGA-PBE, Alexandria via LeMat-Bulk).

Cell lengths 6.966, 6.966, 3.396 Å; angles 90.00, 90.00, 120.00 degrees
Sites, in units of the cell vectors:
Hf 0.000 0.597 0.000
Hf 0.403 0.403 0.000
Hf 0.597 0.000 0.000
Re 0.000 0.256 0.500
Re 0.256 0.000 0.500
Re 0.744 0.744 0.500
Si 0.000 0.000 0.000
Si 0.333 0.667 0.500
Si 0.667 0.333 0.500

* raw total energy: -90.594 eV/cell
* space group: P-62m, No. 189
* formation energy without anion corrections: -0.7911 eV per atom

---

[4]
# Na3ICl6

A geometry-optimized Na3ICl6 structure (GGA-PBE, Alexandria via LeMat-Bulk).

Cell lengths 6.354, 7.386, 13.850 Å; angles 90.00, 111.77, 90.00 degrees
Sites, in units of the cell vectors:
Na 0.000 0.000 0.000
Na 0.000 0.500 0.500
Na 0.250 0.128 0.744
Na 0.250 0.372 0.244
Na 0.750 0.628 0.756
Na 0.750 0.872 0.256
I 0.500 0.000 0.500
I 0.500 0.500 0.000
Cl 0.048 0.045 0.198
Cl 0.048 0.455 0.698
Cl 0.335 0.696 0.107
Cl 0.335 0.804 0.607
Cl 0.403 0.224 0.083
Cl 0.403 0.276 0.583
Cl 0.597 0.724 0.417
Cl 0.597 0.776 0.917
Cl 0.665 0.196 0.393
Cl 0.665 0.304 0.893
Cl 0.952 0.545 0.302
Cl 0.952 0.955 0.802

* raw total energy: -55.219 eV/cell
* space group: P2_1/c, No. 14
* formation energy without anion corrections: -1.1022 eV per atom

---

[5]
# SrCd3Ru

A geometry-optimized SrCd3Ru structure (GGA-PBE, Alexandria via LeMat-Bulk).

Cell lengths 6.043, 6.043, 6.043 Å; angles 90.00, 90.00, 90.00 degrees
Sites, in units of the cell vectors:
Sr 0.000 0.000 0.000
Cd 0.000 0.000 0.500
Cd 0.000 0.500 0.000
Cd 0.500 0.000 0.000
Ru 0.500 0.500 0.500

* raw total energy: -5.899 eV/cell
* space group: Pm-3m, No. 221
* ΔE to the lowest computed polymorph: 7.47 eV per formula unit
* energy relative to the elements: 1.5608 eV per atom

---

[6]
# RbBaHgSe2

A geometry-optimized RbBaHgSe2 structure (GGA-PBE, Alexandria via LeMat-Bulk).

Cell lengths 7.991, 5.228, 9.158 Å; angles 90.00, 101.78, 90.00 degrees
Sites, in units of the cell vectors:
Rb 0.000 0.025 0.250
Rb 0.000 0.975 0.750
Ba 0.500 0.317 0.750
Ba 0.500 0.683 0.250
Hg 0.000 0.500 0.000
Hg 0.000 0.500 0.500
Se 0.309 0.196 0.034
Se 0.309 0.804 0.534
Se 0.691 0.196 0.466
Se 0.691 0.804 0.966

* raw total energy: -30.408 eV/cell
* space group: P2/c, No. 13
* formation energy without anion corrections: -1.0086 eV per atom

---

[7]
# ZrFe2HgGe

A geometry-optimized ZrFe2HgGe structure (GGA-PBE, Alexandria via LeMat-Bulk).

Cell lengths 4.728, 4.728, 4.784 Å; angles 90.00, 90.00, 90.00 degrees
Sites, in units of the cell vectors:
Zr 0.000 0.000 0.000
Fe 0.000 0.500 0.500
Fe 0.500 0.000 0.500
Hg 0.500 0.500 0.500
Ge 0.500 0.500 0.000

* raw total energy: -24.141 eV/cell
* space group: P4/mmm, No. 123
* energy relative to the elements: 1.2504 eV per atom

---

[8]
# TlSn2Ge3Te6

A geometry-optimized TlSn2Ge3Te6 structure (GGA-PBE, Alexandria via LeMat-Bulk).

Cell lengths 9.854, 9.854, 8.795 Å; angles 102.96, 102.96, 25.62 degrees
Sites, in units of the cell vectors:
Tl 0.000 0.000 0.000
Sn 0.336 0.336 0.666
Sn 0.664 0.664 0.334
Ge 0.000 0.000 0.500
Ge 0.332 0.332 0.165
Ge 0.668 0.668 0.835
Te 0.163 0.163 0.595
Te 0.176 0.176 0.079
Te 0.498 0.498 0.270
Te 0.502 0.502 0.730
Te 0.824 0.824 0.921
Te 0.837 0.837 0.405

* raw total energy: -45.006 eV/cell
* space group: C2/m, No. 12
* formation energy without anion corrections: -0.1610 eV per atom